1.
Tl2CoRh3F12: relaxed, PBE+U.

Its space group is No. 166.

Cell lengths 7.4527, 7.4527, 7.4527 Å; angles 60.53, 60.53, 60.53 degrees
With the nearest neighbours (Å) after each atom.
Positions (direct):
1 Tl 0.1470 0.1470 0.1470  3 F 2.95
2 Tl 0.8530 0.8530 0.8530  3 F 2.95
3 Co 0.5000 0.5000 0.5000  6 F 2.04
4 Rh 0.0000 0.5000 0.5000  6 F 2.02-2.06
5 Rh 0.5000 0.0000 0.5000  6 F 2.02-2.06
6 Rh 0.5000 0.5000 0.0000  6 F 2.02-2.06
7 F 0.1709 0.1709 0.5711  2 Rh 2.06
8 F 0.1709 0.5711 0.1709  2 Rh 2.06
9 F 0.1738 0.5762 0.5762  1 Rh 2.02, 1 Co 2.04
10 F 0.4238 0.4238 0.8262  1 Rh 2.02, 1 Co 2.04
11 F 0.4238 0.8262 0.4238  1 Rh 2.02, 1 Co 2.04
12 F 0.4289 0.8291 0.8291  2 Rh 2.06
13 F 0.5711 0.1709 0.1709  2 Rh 2.06
14 F 0.5762 0.1738 0.5762  1 Rh 2.02, 1 Co 2.04
15 F 0.5762 0.5762 0.1738  1 Rh 2.02, 1 Co 2.04
16 F 0.8262 0.4238 0.4238  1 Rh 2.02, 1 Co 2.04
17 F 0.8291 0.4289 0.8291  2 Rh 2.06
18 F 0.8291 0.8291 0.4289  2 Rh 2.06

***

2.
YCo2RhF: relaxed, PBE+U.

Its space group is No. 123.

Cell lengths 4.6449, 4.6449, 5.3340 Å; angles 90.00, 90.00, 90.00 degrees
With the nearest neighbours (Å) after each atom.
Positions (direct):
1 Y 0.0000 0.0000 0.0000  2 Rh 2.67
2 Co 0.0000 0.5000 0.5000  2 Rh 2.32
3 Co 0.5000 0.0000 0.5000  2 Rh 2.32
4 Rh 0.0000 0.0000 0.5000  4 Co 2.32
5 F 0.5000 0.5000 0.0000  4 Y 3.28, 8 Co 3.54

***

3.
CoRuF3: relaxed, PBE+U.

Its space group is No. 221. The value obtained for the distance to the lowest polymorph of the same formula is 242.4 meV per atom.

Cell lengths 4.1942, 4.1942, 4.1942 Å; angles 90.00, 90.00, 90.00 degrees
With the nearest neighbours (Å) after each atom.
Positions (direct):
1 Co 0.0000 0.0000 0.0000  12 F 2.97
2 Ru 0.5000 0.5000 0.5000  6 F 2.10
3 F 0.0000 0.5000 0.5000  2 Ru 2.10
4 F 0.5000 0.0000 0.5000  2 Ru 2.10
5 F 0.5000 0.5000 0.0000  2 Ru 2.10

***

Number 1: DFT total energy -4.630 eV per atom, total magnetization 3.708 μB/f.u.. Number 2: DFT total energy -5.093 eV per atom, total magnetization 4.951 μB/f.u.. Number 3: DFT total energy -4.473 eV per atom, total magnetization 4.173 μB/f.u..